No. 1
! Y2ThBr | Alexandria | PBE | optimized geometry; values from VASP
! * space-group type: R-3m (166)
! * VASP energy: -0.445 Ry per atom
&SYSTEM
  ibrav = 0, nat = 4, ntyp = 3
/
ATOMIC_SPECIES
Y 88.91 Y.upf
Th 232.04 Th.upf
Br 79.90 Br.upf
CELL_PARAMETERS angstrom
1.8391 1.0618 10.0955
-1.8391 1.0618 10.0955
0.0000 -2.1237 10.0955
ATOMIC_POSITIONS angstrom
Y 0.0000 0.0000 7.3546
Y 0.0000 0.0000 22.9319
Th 0.0000 0.0000 0.0000
Br 0.0000 0.0000 15.1433



No. 2
! LiLa2Nd2 | Alexandria | PBE | optimized geometry; values from VASP
! * space-group type: I4/mmm (139)
! * VASP energy: -0.281 Ry per atom
! * calculated formation energy: 0.440 eV/atom
&SYSTEM
  ibrav = 0, nat = 5, ntyp = 3
/
ATOMIC_SPECIES
Li 6.94 Li.upf
La 138.91 La.upf
Nd 144.24 Nd.upf
CELL_PARAMETERS angstrom
-2.2278 2.2278 9.0762
2.2278 -2.2278 9.0762
2.2278 2.2278 -9.0762
ATOMIC_POSITIONS angstrom
Li 0.0000 0.0000 0.0000
La 2.2278 0.0000 4.5381
La 0.0000 2.2278 4.5381
Nd 0.0000 0.0000 7.4746
Nd 0.0000 0.0000 10.6778



No. 3
! KFeReNi2 | Alexandria | PBE | optimized geometry; values from VASP
! * space-group type: P4/mmm (123)
! * VASP energy: -0.345 Ry per atom
! * calculated formation energy: 2.016 eV/atom
&SYSTEM
  ibrav = 0, nat = 5, ntyp = 4
/
ATOMIC_SPECIES
K 39.10 K.upf
Fe 55.84 Fe.upf
Re 186.21 Re.upf
Ni 58.69 Ni.upf
CELL_PARAMETERS angstrom
4.4466 0.0000 0.0000
0.0000 4.4466 0.0000
0.0000 0.0000 4.7898
ATOMIC_POSITIONS angstrom
K 0.0000 0.0000 0.0000
Fe 0.0000 0.0000 2.3949
Re 2.2233 2.2233 0.0000
Ni 0.0000 2.2233 2.3949
Ni 2.2233 0.0000 2.3949



No. 4
! TeWCl2 | Alexandria | PBE | optimized geometry; values from VASP
! * polymorph energy (0 for the lowest one): 1.339 eV/atom
! * space-group type: P4/mmm (123)
! * VASP energy: -0.286 Ry per atom
&SYSTEM
  ibrav = 0, nat = 4, ntyp = 3
/
ATOMIC_SPECIES
Te 127.60 Te.upf
W 183.84 W.upf
Cl 35.45 Cl.upf
CELL_PARAMETERS angstrom
4.2569 0.0000 0.0000
0.0000 4.2569 0.0000
0.0000 0.0000 4.7719
ATOMIC_POSITIONS angstrom
Te 0.0000 0.0000 0.0000
W 2.1285 2.1285 0.0000
Cl 0.0000 2.1285 2.3859
Cl 2.1285 0.0000 2.3859



No. 5
! NdScTlCu | Alexandria | PBE | optimized geometry; values from VASP
! * space-group type: F-43m (216)
! * VASP energy: -0.337 Ry per atom
! * calculated formation energy: -0.190 eV/atom
&SYSTEM
  ibrav = 0, nat = 4, ntyp = 4
/
ATOMIC_SPECIES
Nd 144.24 Nd.upf
Sc 44.96 Sc.upf
Tl 204.38 Tl.upf
Cu 63.55 Cu.upf
CELL_PARAMETERS angstrom
0.0000 3.6323 3.6323
3.6323 0.0000 3.6323
3.6323 3.6323 0.0000
ATOMIC_POSITIONS angstrom
Nd 0.0000 0.0000 0.0000
Sc 3.6323 3.6323 3.6323
Tl 1.8161 1.8161 1.8161
Cu 5.4484 5.4484 5.4484



No. 6
! AcLaPr4 | Alexandria | PBE | optimized geometry; values from VASP
! * polymorph energy (0 for the lowest one): 0.132 eV/atom
! * space-group type: Pmma (51)
! * VASP energy: -0.334 Ry per atom
! * calculated formation energy: 0.151 eV/atom
&SYSTEM
  ibrav = 0, nat = 12, ntyp = 3
/
ATOMIC_SPECIES
Ac 227.00 Ac.upf
La 138.91 La.upf
Pr 140.91 Pr.upf
CELL_PARAMETERS angstrom
7.5835 0.0000 0.0000
0.0000 6.2052 0.0000
0.0000 0.0000 9.6968
ATOMIC_POSITIONS angstrom
Ac 1.8959 0.0000 1.6942
Ac 5.6876 0.0000 8.0026
La 1.8959 0.0000 7.9183
La 5.6876 0.0000 1.7785
Pr 0.0000 0.0000 4.8484
Pr 0.0932 3.1026 7.9535
Pr 1.8959 3.1026 4.7232
Pr 3.6986 3.1026 7.9535
Pr 3.7918 0.0000 4.8484
Pr 3.8849 3.1026 1.7433
Pr 5.6876 3.1026 4.9736
Pr 7.4903 3.1026 1.7433



No. 7
! Nd2SmY7 | Alexandria | PBE | optimized geometry; values from VASP
! * polymorph energy (0 for the lowest one): 0.000 eV/atom
! * space-group type: P-1 (2)
! * VASP energy: -0.436 Ry per atom
! * calculated formation energy: 0.018 eV/atom
&SYSTEM
  ibrav = 0, nat = 10, ntyp = 3
/
ATOMIC_SPECIES
Nd 144.24 Nd.upf
Sm 150.36 Sm.upf
Y 88.91 Y.upf
CELL_PARAMETERS angstrom
6.2266 0.0000 0.0000
-1.0239 6.1467 0.0000
-3.1017 -2.6193 8.6041
ATOMIC_POSITIONS angstrom
Nd 0.0032 -0.5162 1.7199
Nd 2.0978 4.0437 6.8841
Sm 1.0505 1.7637 4.3020
Y -2.0540 1.2412 6.0247
Y -1.0204 4.5762 5.1584
Y 1.0480 2.8130 0.8637
Y 3.1133 0.0000 0.0000
Y 1.0530 0.7145 7.7404
Y 3.1214 -1.0488 3.4457
Y 4.1550 2.2863 2.5793



No. 8
! La4Pm3Rh4 | Alexandria | PBE | optimized geometry; values from VASP
! * space-group type: Immm (71)
! * VASP energy: -0.461 Ry per atom
! * calculated formation energy: -0.507 eV/atom
&SYSTEM
  ibrav = 0, nat = 11, ntyp = 3
/
ATOMIC_SPECIES
La 138.91 La.upf
Pm 145.00 Pm.upf
Rh 102.91 Rh.upf
CELL_PARAMETERS angstrom
-2.3857 3.8985 7.8156
2.3857 -3.8985 7.8156
2.3857 3.8985 -7.8156
ATOMIC_POSITIONS angstrom
La 2.3857 -2.1948 5.2351
La 0.0000 1.7037 2.5806
La 2.3857 2.1948 5.2351
La 0.0000 6.0933 2.5806
Pm 2.3857 0.0000 0.0000
Pm 0.0000 0.0000 6.3219
Pm 0.0000 0.0000 9.3094
Rh 2.3857 0.0000 3.1837
Rh 0.0000 2.4744 0.0000
Rh 0.0000 5.3226 0.0000
Rh 0.0000 3.8985 4.6320



No. 9
! LaIn2HPd | Alexandria | PBE | optimized geometry; values from VASP
! * space-group type: P4/mmm (123)
! * VASP energy: -0.291 Ry per atom
&SYSTEM
  ibrav = 0, nat = 5, ntyp = 4
/
ATOMIC_SPECIES
La 138.91 La.upf
In 114.82 In.upf
H 1.01 H.upf
Pd 106.42 Pd.upf
CELL_PARAMETERS angstrom
5.3642 0.0000 0.0000
0.0000 5.3642 0.0000
0.0000 0.0000 3.6802
ATOMIC_POSITIONS angstrom
La 0.0000 0.0000 0.0000
In 0.0000 2.6821 1.8401
In 2.6821 0.0000 1.8401
H 2.6821 2.6821 1.8401
Pd 2.6821 2.6821 0.0000



No. 10
! Al2HgPt | Alexandria | PBE | optimized geometry; values from VASP
! * space-group type: Cmmm (65)
! * VASP energy: -0.269 Ry per atom
! * calculated formation energy: -0.208 eV/atom
&SYSTEM
  ibrav = 0, nat = 4, ntyp = 3
/
ATOMIC_SPECIES
Al 26.98 Al.upf
Hg 200.59 Hg.upf
Pt 195.08 Pt.upf
CELL_PARAMETERS angstrom
3.3530 -3.3646 0.0000
3.3530 3.3646 0.0000
0.0000 0.0000 2.9783
ATOMIC_POSITIONS angstrom
Al 1.6765 1.6823 0.0000
Al 1.6765 -1.6823 0.0000
Hg 0.0000 0.0000 1.4891
Pt 3.3530 0.0000 1.4891



No. 11
! TlSb2Br | Alexandria | PBE | optimized geometry; values from VASP
! * polymorph energy (0 for the lowest one): 0.000 eV/atom
! * space-group type: R3m (160)
! * VASP energy: -0.249 Ry per atom
&SYSTEM
  ibrav = 0, nat = 4, ntyp = 3
/
ATOMIC_SPECIES
Tl 204.38 Tl.upf
Sb 121.76 Sb.upf
Br 79.90 Br.upf
CELL_PARAMETERS angstrom
2.1611 1.2477 8.9423
-2.1611 1.2477 8.9423
0.0000 -2.4955 8.9423
ATOMIC_POSITIONS angstrom
Tl 0.0000 0.0000 0.0000
Sb 0.0000 0.0000 6.1442
Sb 0.0000 0.0000 13.5221
Br 0.0000 0.0000 19.6964



No. 12
! Al2Ni21P6 | Alexandria | PBE | optimized geometry; values from VASP
! * space-group type: Fm-3m (225)
! * VASP energy: -0.442 Ry per atom
! * calculated formation energy: -0.452 eV/atom
&SYSTEM
  ibrav = 0, nat = 29, ntyp = 3
/
ATOMIC_SPECIES
Al 26.98 Al.upf
Ni 58.69 Ni.upf
P 30.97 P.upf
CELL_PARAMETERS angstrom
0.0000 5.5047 5.5047
5.5047 0.0000 5.5047
5.5047 5.5047 0.0000
ATOMIC_POSITIONS angstrom
Al 2.7523 2.7523 2.7523
Al 8.2570 8.2570 8.2570
Ni 0.0000 0.0000 0.0000
Ni 1.9170 1.9170 0.0000
Ni 3.5877 3.5877 0.0000
Ni 1.9170 0.0000 1.9170
Ni 5.5047 3.5877 1.9170
Ni 3.5877 0.0000 3.5877
Ni 5.5047 1.9170 3.5877
Ni 6.8196 4.1898 4.1898
Ni 0.0000 1.9170 1.9170
Ni 3.5877 5.5047 1.9170
Ni 3.5877 1.9170 5.5047
Ni 4.1898 4.1898 4.1898
Ni 6.8196 6.8196 4.1898
Ni 6.8196 4.1898 6.8196
Ni 4.1898 6.8196 4.1898
Ni 4.1898 4.1898 6.8196
Ni 6.8196 6.8196 6.8196
Ni 0.0000 3.5877 3.5877
Ni 1.9170 5.5047 3.5877
Ni 1.9170 3.5877 5.5047
Ni 4.1898 6.8196 6.8196
P 5.5047 5.5047 2.9047
P 5.5047 2.9047 5.5047
P 8.1047 5.5047 5.5047
P 2.9047 5.5047 5.5047
P 5.5047 8.1047 5.5047
P 5.5047 5.5047 8.1047



No. 13
! BeTcPd3 | Alexandria | PBE | optimized geometry; values from VASP
! * polymorph energy (0 for the lowest one): 1.213 eV/atom
! * space-group type: Pm-3m (221)
! * VASP energy: -0.324 Ry per atom
! * calculated formation energy: 1.526 eV/atom
&SYSTEM
  ibrav = 0, nat = 5, ntyp = 3
/
ATOMIC_SPECIES
Be 9.01 Be.upf
Tc 98.00 Tc.upf
Pd 106.42 Pd.upf
CELL_PARAMETERS angstrom
4.7595 0.0000 0.0000
0.0000 4.7595 0.0000
0.0000 0.0000 4.7595
ATOMIC_POSITIONS angstrom
Be 0.0000 0.0000 0.0000
Tc 2.3798 2.3798 2.3798
Pd 0.0000 2.3798 2.3798
Pd 2.3798 0.0000 2.3798
Pd 2.3798 2.3798 0.0000



No. 14
! Ac3CdHg4 | Alexandria | PBE | optimized geometry; values from VASP
! * polymorph energy (0 for the lowest one): 0.000 eV/atom
! * space-group type: R-3m (166)
! * VASP energy: -0.164 Ry per atom
! * calculated formation energy: -0.428 eV/atom
&SYSTEM
  ibrav = 0, nat = 8, ntyp = 3
/
ATOMIC_SPECIES
Ac 227.00 Ac.upf
Cd 112.41 Cd.upf
Hg 200.59 Hg.upf
CELL_PARAMETERS angstrom
2.7495 1.5874 9.5167
-2.7495 1.5874 9.5167
0.0000 -3.1748 9.5167
ATOMIC_POSITIONS angstrom
Ac 0.0000 0.0000 0.0000
Ac 0.0000 0.0000 6.8402
Ac 0.0000 0.0000 21.7100
Cd 0.0000 0.0000 14.2751
Hg 0.0000 0.0000 3.5434
Hg 0.0000 0.0000 10.6698
Hg 0.0000 0.0000 17.8803
Hg 0.0000 0.0000 25.0068



No. 15
! GaIr2Rh | Alexandria | PBE | optimized geometry; values from VASP
! * space-group type: I-42d (122)
! * VASP energy: -0.498 Ry per atom
! * calculated formation energy: 0.245 eV/atom
&SYSTEM
  ibrav = 0, nat = 8, ntyp = 3
/
ATOMIC_SPECIES
Ga 69.72 Ga.upf
Ir 192.22 Ir.upf
Rh 102.91 Rh.upf
CELL_PARAMETERS angstrom
-1.8645 1.8645 9.1179
1.8645 -1.8645 9.1179
1.8645 1.8645 -9.1179
ATOMIC_POSITIONS angstrom
Ga 0.0000 0.0000 0.0000
Ga 0.0000 1.8645 4.5590
Ir 0.9322 -0.9125 6.8384
Ir 0.9519 0.9322 2.2795
Ir 0.9322 2.7770 -2.2795
Ir 0.9125 0.9322 11.3974
Rh 1.8645 0.0000 4.5590
Rh 0.0000 0.0000 9.1179



No. 16
! Ba6NCl3O2 | Alexandria | PBE | optimized geometry; values from VASP
! * space-group type: C2/m (12)
! * VASP energy: -0.353 Ry per atom
&SYSTEM
  ibrav = 0, nat = 12, ntyp = 4
/
ATOMIC_SPECIES
Ba 137.33 Ba.upf
N 14.01 N.upf
Cl 35.45 Cl.upf
O 16.00 O.upf
CELL_PARAMETERS angstrom
3.5418 -6.1313 0.0000
3.5418 6.1313 0.0000
-2.3604 0.0000 7.5175
ATOMIC_POSITIONS angstrom
Ba 1.1756 2.0353 1.5012
Ba -0.0085 0.0000 6.0205
Ba 1.1756 -2.0353 1.5012
Ba 3.5475 2.0353 6.0162
Ba 4.7316 0.0000 1.4970
Ba 3.5475 -2.0353 6.0162
N 0.0000 0.0000 0.0000
Cl 2.3616 4.1087 3.7587
Cl 2.3616 0.0000 3.7587
Cl 2.3616 -4.1087 3.7587
O 3.5418 2.0469 0.0000
O 3.5418 -2.0469 0.0000



No. 17
! Tb12Tc3N5 | Alexandria | PBE | optimized geometry; values from VASP
! * space-group type: Ia-3d (230)
! * VASP energy: -0.520 Ry per atom
&SYSTEM
  ibrav = 0, nat = 80, ntyp = 3
/
ATOMIC_SPECIES
Tb 158.93 Tb.upf
Tc 98.00 Tc.upf
N 14.01 N.upf
CELL_PARAMETERS angstrom
-7.6205 7.6205 7.6205
7.6205 -7.6205 7.6205
7.6205 7.6205 -7.6205
ATOMIC_POSITIONS angstrom
Tb 2.3176 -0.4305 0.8051
Tb 9.1131 4.6153 -4.2407
Tb 9.9381 0.4305 0.8051
Tb 9.1131 -3.0051 4.2407
Tb 7.1900 -0.8051 2.3176
Tb 11.8612 -1.4926 3.0051
Tb 0.8051 2.3176 -0.4305
Tb 10.6256 3.3797 -1.4926
Tb 4.6153 4.2407 -1.4926
Tb 6.8154 2.3176 0.4305
Tb -0.4305 0.8051 2.3176
Tb 4.2407 -1.4926 4.6153
Tb 7.1900 6.8154 -2.3176
Tb 4.2407 1.4926 3.0051
Tb 4.6153 -4.2407 9.1131
Tb 6.8154 -2.3176 7.1900
Tb 3.0051 4.2407 1.4926
Tb 8.4256 5.3029 0.4305
Tb 4.2407 9.1131 -3.0051
Tb 7.1900 0.8051 5.3029
Tb 2.3176 7.1900 -0.8051
Tb 9.1131 3.0051 3.3797
Tb 1.4926 3.0051 4.2407
Tb 2.3176 0.4305 6.8154
Tb 5.3029 7.1900 0.8051
Tb 6.1278 4.6153 3.3797
Tb -1.4926 4.6153 4.2407
Tb 5.3029 0.4305 8.4256
Tb 0.4305 6.8154 2.3176
Tb 3.3797 -1.4926 10.6256
Tb -0.8051 2.3176 7.1900
Tb 4.6153 3.3797 6.1278
Tb 0.8051 9.9381 0.4305
Tb 3.0051 11.8612 -1.4926
Tb 3.3797 6.1278 4.6153
Tb 0.4305 0.8051 9.9381
Tb 3.3797 9.1131 3.0051
Tb 8.0510 6.8154 5.3029
Tb 0.8051 5.3029 7.1900
Tb 3.0051 3.3797 9.1131
Tb -3.0051 4.2407 9.1131
Tb 6.8154 5.3029 8.0510
Tb -4.2407 9.1131 4.6153
Tb 0.4305 8.4256 5.3029
Tb -1.4926 10.6256 3.3797
Tb -2.3176 7.1900 6.8154
Tb -1.4926 3.0051 11.8612
Tb 5.3029 8.0510 6.8154
Tc 3.8102 1.9051 0.0000
Tc 7.6205 3.8102 -1.9051
Tc 1.9051 0.0000 3.8102
Tc 9.5256 0.0000 3.8102
Tc 0.0000 3.8102 1.9051
Tc 3.8102 -1.9051 7.6205
Tc 3.8102 9.5256 0.0000
Tc 7.6205 3.8102 5.7154
Tc -1.9051 7.6205 3.8102
Tc 5.7154 7.6205 3.8102
Tc 0.0000 3.8102 9.5256
Tc 3.8102 5.7154 7.6205
N 0.0000 0.0000 0.0000
N 3.8102 3.8102 -3.8102
N 3.8102 -3.8102 3.8102
N 7.6205 0.0000 0.0000
N 11.4307 1.9051 0.0000
N 7.6205 -3.8102 5.7154
N 5.7154 7.6205 -3.8102
N 5.7154 0.0000 3.8102
N 3.8102 5.7154 0.0000
N 7.6205 3.8102 1.9051
N -3.8102 3.8102 3.8102
N 0.0000 7.6205 0.0000
N 0.0000 0.0000 7.6205
N 3.8102 3.8102 3.8102
N 0.0000 3.8102 5.7154
N 3.8102 1.9051 7.6205
N 1.9051 7.6205 3.8102
N 1.9051 0.0000 11.4307
N 0.0000 11.4307 1.9051
N -3.8102 5.7154 7.6205



No. 18
! La3PrCu | Alexandria | PBE | optimized geometry; values from VASP
! * polymorph energy (0 for the lowest one): 0.000 eV/atom
! * space-group type: P1 (1)
! * VASP energy: -0.351 Ry per atom
! * calculated formation energy: -0.040 eV/atom
&SYSTEM
  ibrav = 0, nat = 10, ntyp = 3
/
ATOMIC_SPECIES
La 138.91 La.upf
Pr 140.91 Pr.upf
Cu 63.55 Cu.upf
CELL_PARAMETERS angstrom
3.7384 0.0000 0.0000
0.0167 8.8285 0.0000
1.8460 2.1387 9.6194
ATOMIC_POSITIONS angstrom
La 0.0000 0.0000 0.0000
La 1.8907 5.5756 9.5930
La 1.8825 2.0440 6.0874
La 1.8924 5.7723 5.8438
La 3.7525 8.6277 3.7524
La 3.7456 3.5312 3.5020
Pr 1.8855 6.1842 1.7592
Pr 3.7601 8.2214 7.8320
Cu 1.8700 1.5425 2.0195
Cu 3.7573 4.0230 7.5779



No. 19
! AgMo2Cl | Alexandria | PBE | optimized geometry; values from VASP
! * polymorph energy (0 for the lowest one): 0.472 eV/atom
! * space-group type: Pmmm (47)
! * VASP energy: -0.436 Ry per atom
&SYSTEM
  ibrav = 0, nat = 4, ntyp = 3
/
ATOMIC_SPECIES
Ag 107.87 Ag.upf
Mo 95.94 Mo.upf
Cl 35.45 Cl.upf
CELL_PARAMETERS angstrom
2.7838 0.0000 0.0000
0.0000 4.1806 0.0000
0.0000 0.0000 5.6829
ATOMIC_POSITIONS angstrom
Ag 0.0000 0.0000 0.0000
Mo 1.3919 2.0903 1.4296
Mo 1.3919 2.0903 4.2533
Cl 1.3919 0.0000 2.8414



No. 20
! AgHgBF6 | Alexandria | PBE | optimized geometry; values from VASP
! * space-group type: P1 (1)
! * VASP energy: -0.316 Ry per atom
&SYSTEM
  ibrav = 0, nat = 9, ntyp = 4
/
ATOMIC_SPECIES
Ag 107.87 Ag.upf
Hg 200.59 Hg.upf
B 10.81 B.upf
F 19.00 F.upf
CELL_PARAMETERS angstrom
5.4383 0.0000 0.0000
2.6559 5.0538 0.0000
1.9497 0.3022 5.7412
ATOMIC_POSITIONS angstrom
Ag 0.0000 0.0000 0.0000
Hg 7.3966 2.7663 2.9656
B 4.6216 0.9169 3.7938
F 2.1825 3.1077 0.9828
F 3.4554 0.3040 3.2427
F 4.6224 2.2948 3.4592
F 4.6362 0.7133 5.1834
F 7.2451 2.4243 4.9638
F 5.7762 0.3078 3.2018